Record 1
Entry from Alexandria: TbSm2Au after structural relaxation (PBE).

a = 5.4703 Å, b = 5.4703 Å, c = 3.7075 Å
α = 90.00°, β = 90.00°, γ = 90.00°
Last column: nearest neighbours and their distance in Å.
Fractional coordinates of all 4 atoms:
Tb 0.0000 0.0000 0.0000  8 Sm 3.30
Sm 0.0000 0.5000 0.5000  4 Tb 3.30, 4 Au 3.30
Sm 0.5000 0.0000 0.5000  4 Tb 3.30, 4 Au 3.30
Au 0.5000 0.5000 0.0000  8 Sm 3.30

Calculated values
E above lowest polymorph = 180 meV/atom
Energy = -18.276 eV/f.u.
Formation energy from the elements = -233 meV per atom
Fermi-level density of states = 1.34 states/eV per atom
SG = P4/mmm (123)


Record 2
Entry from Alexandria: Tb4Er5In after structural relaxation (PBE).

a = 7.9989 Å, b = 7.9989 Å, c = 7.9989 Å
α = 97.42°, β = 97.42°, γ = 137.87°
Last column: nearest neighbours and their distance in Å.
Fractional coordinates of all 10 atoms:
Tb 0.0000 0.3146 0.3146  3 Er 3.32-3.54, 1 In 3.67
Tb 0.0000 0.6854 0.6854  3 Er 3.32-3.54, 1 In 3.67
Tb 0.3146 0.0000 0.3146  3 Er 3.32-3.54, 1 In 3.67
Tb 0.6854 0.0000 0.6854  3 Er 3.32-3.54, 1 In 3.67
Er 0.3160 0.3160 0.6295  1 In 3.07, 1 Er 3.22, 2 Tb 3.32
Er 0.3160 0.6864 0.0000  1 In 3.07, 1 Er 3.22, 2 Tb 3.32
Er 0.6864 0.3160 0.0000  1 In 3.07, 1 Er 3.22, 2 Tb 3.32
Er 0.6864 0.6864 0.3705  1 In 3.07, 1 Er 3.22, 2 Tb 3.32
Er 0.7873 0.7873 0.0000  2 In 2.78-2.97
In 0.2706 0.2706 0.0000  6 Er 2.78-3.07

Calculated values
Energy = -42.953 eV/f.u.
Formation energy from the elements = 112 meV per atom
Fermi-level density of states = 1.43 states/eV per atom
SG = I4mm (107)


Record 3
Entry from Alexandria: Dy8Cu2Rh after structural relaxation (PBE).

a = 7.7387 Å, b = 7.7387 Å, c = 5.8562 Å
α = 100.96°, β = 100.96°, γ = 115.76°
Last column: nearest neighbours and their distance in Å.
Fractional coordinates of all 11 atoms:
Dy 0.0000 0.0000 0.0000  1 Rh 2.89, 2 Cu 3.14
Dy 0.0239 0.2754 0.5867  2 Cu 2.80-2.84, 1 Rh 3.12
Dy 0.1602 0.5684 0.1899  1 Rh 2.80
Dy 0.2754 0.0239 0.5867  2 Cu 2.80-2.84, 1 Rh 3.12
Dy 0.4558 0.7064 0.8098  2 Cu 2.82-2.88, 1 Rh 3.12
Dy 0.5684 0.1602 0.1899  1 Rh 2.80
Dy 0.7064 0.4558 0.8098  2 Cu 2.82-2.88, 1 Rh 3.12
Dy 0.7276 0.7276 0.3756  1 Rh 2.93, 2 Cu 3.12
Cu 0.0587 0.6645 0.6861  5 Dy 2.80-3.12
Cu 0.6645 0.0587 0.6861  5 Dy 2.80-3.12
Rh 0.3622 0.3622 0.0487  8 Dy 2.80-3.12

Calculated values
E above lowest polymorph = 115 meV/atom
Energy = -53.767 eV/f.u.
Formation energy from the elements = -128 meV per atom
Fermi-level density of states = 1.33 states/eV per atom
SG = Cm (8)


Record 4
Entry from Alexandria: AgSnPd14 after structural relaxation (PBE).

a = 5.6538 Å, b = 5.6538 Å, c = 7.9070 Å
α = 90.00°, β = 90.00°, γ = 90.00°
Last column: nearest neighbours and their distance in Å.
Fractional coordinates of all 16 atoms:
Ag 0.0000 0.0000 0.0000  12 Pd 2.83
Sn 0.5000 0.5000 0.0000  12 Pd 2.82-2.83
Pd 0.0000 0.0000 0.5000  12 Pd 2.81-2.83
Pd 0.0000 0.5000 0.0000  8 Pd 2.82, 2 Sn 2.83, 2 Ag 2.83
Pd 0.0000 0.5000 0.5000  12 Pd 2.80-2.83
Pd 0.2509 0.2509 0.2519  10 Pd 2.80-2.84, 1 Sn 2.82, 1 Ag 2.83
Pd 0.2509 0.2509 0.7481  10 Pd 2.80-2.84, 1 Sn 2.82, 1 Ag 2.83
Pd 0.2509 0.7491 0.2519  10 Pd 2.80-2.84, 1 Sn 2.82, 1 Ag 2.83
Pd 0.2509 0.7491 0.7481  10 Pd 2.80-2.84, 1 Sn 2.82, 1 Ag 2.83
Pd 0.5000 0.0000 0.0000  8 Pd 2.82, 2 Sn 2.83, 2 Ag 2.83
Pd 0.5000 0.0000 0.5000  12 Pd 2.80-2.83
Pd 0.5000 0.5000 0.5000  12 Pd 2.80-2.83
Pd 0.7491 0.2509 0.2519  10 Pd 2.80-2.84, 1 Sn 2.82, 1 Ag 2.83
Pd 0.7491 0.2509 0.7481  10 Pd 2.80-2.84, 1 Sn 2.82, 1 Ag 2.83
Pd 0.7491 0.7491 0.2519  10 Pd 2.80-2.84, 1 Sn 2.82, 1 Ag 2.83
Pd 0.7491 0.7491 0.7481  10 Pd 2.80-2.84, 1 Sn 2.82, 1 Ag 2.83

Calculated values
Energy = -81.499 eV/f.u.
Formation energy from the elements = -122 meV per atom
Fermi-level density of states = 2.05 states/eV per atom
SG = P4/mmm (123)


Record 5
Entry from Alexandria: Cs2Ce2SmS6 after structural relaxation (PBE).

a = 7.2141 Å, b = 7.2141 Å, c = 8.5418 Å
α = 97.97°, β = 97.97°, γ = 120.01°
Last column: nearest neighbours and their distance in Å.
Fractional coordinates of all 11 atoms:
Cs 0.1658 0.8342 0.0000  6 S 3.57-3.58
Cs 0.8342 0.1658 0.0000  6 S 3.57-3.58
Ce 0.3341 0.6659 0.5000  6 S 2.79-2.81
Ce 0.6659 0.3341 0.5000  6 S 2.79-2.81
Sm 0.0000 0.0000 0.5000  6 S 2.81-2.83
S 0.0559 0.3943 0.6771  2 Ce 2.79-2.81, 1 Sm 2.83
S 0.2753 0.2753 0.3223  2 Ce 2.80, 1 Sm 2.81
S 0.3943 0.0559 0.6771  2 Ce 2.79-2.81, 1 Sm 2.83
S 0.6057 0.9441 0.3229  2 Ce 2.79-2.81, 1 Sm 2.83
S 0.7247 0.7247 0.6777  2 Ce 2.80, 1 Sm 2.81
S 0.9441 0.6057 0.3229  2 Ce 2.79-2.81, 1 Sm 2.83

Calculated values
Formation energy without anion corrections = -1.837 eV per atom
Energy = -63.270 eV/f.u.
Fermi-level density of states = 0.56 states/eV per atom
SG = C2/m (12)


no.,M_tot (μB/atom)
1,0.00
2,0.00
3,0.00
4,0.00
5,0.09